i | DFT (PBE) results for crystalline BeCdPb2 at its relaxed geometry.

Values from the calculation:
Calculated volume (Å³ per atom): 25.1
Space group: Cm, No. 8

Unit cell a=4.7858 b=4.7858 c=6.9607 alpha=71.38 beta=71.38 gamma=42.06
Last column: nearest neighbours and their distance in Å.
Atoms (fractional coordinates):
Pb 0.8202 0.8202 0.6999  2 Be 2.80
Pb 0.0022 0.0022 0.0503  2 Be 2.81
Cd 0.1967 0.1967 0.3719  3 Be 2.55-2.57
Be 0.4808 0.4808 0.3779  3 Cd 2.55-2.57, 4 Pb 2.80-2.81

---

ii | DFT (PBE) results for crystalline BeCdPb2 at its relaxed geometry.

Values from the calculation:
Calculated volume (Å³ per atom): 24.4
Space group: Imm2, No. 44

Unit cell a=6.2231 b=6.2231 c=6.2231 alpha=148.98 beta=127.55 gamma=62.19
Last column: nearest neighbours and their distance in Å.
Atoms (fractional coordinates):
Cd 0.3033 0.8033 0.5000  2 Be 2.59
Be 0.4898 0.4898 0.0000  2 Cd 2.59, 2 Pb 2.81
Pb 0.7017 0.2017 0.5000  2 Be 2.81
Pb 0.0052 0.0052 0.0000  4 Be 3.22, 4 Pb 3.33-3.46, 4 Cd 3.49-3.59

---

iii | DFT (PBE) results for crystalline BeCdPb2 at its relaxed geometry.

Values from the calculation:
Calculated volume (Å³ per atom): 24.8
Space group: I-4m2, No. 119

Unit cell a=5.9227 b=5.9227 c=5.9227 alpha=135.93 beta=135.93 gamma=64.09
Last column: nearest neighbours and their distance in Å.
Atoms (fractional coordinates):
Be 0.5000 0.5000 0.0000  8 Pb 3.14-3.35, 4 Cd 3.35
Cd 0.7500 0.2500 0.5000  8 Pb 3.14-3.35, 4 Be 3.35
Pb 0.0000 0.0000 0.0000  4 Be 3.14, 4 Cd 3.35, 4 Pb 3.35
Pb 0.2500 0.7500 0.5000  4 Cd 3.14, 4 Pb 3.35, 4 Be 3.35

---

Most stable of them? i.

---

i | DFT (PBE) results for crystalline BeCdPb2 at its relaxed geometry.

Values from the calculation:
Calculated volume (Å³ per atom): 24.6
Space group: P4/mmm, No. 123

Unit cell a=4.7985 b=4.8080 c=4.2666 alpha=90.00 beta=90.00 gamma=90.00
Last column: nearest neighbours and their distance in Å.
Atoms (fractional coordinates):
Pb 0.5000 0.5000 0.0000  4 Cd 3.21, 4 Be 3.21, 4 Pb 3.40
Pb 0.0000 0.0000 0.0000  4 Be 3.21, 4 Cd 3.21, 4 Pb 3.40
Cd 0.0000 0.5000 0.5000  8 Pb 3.21, 4 Be 3.40
Be 0.5000 0.0000 0.5000  8 Pb 3.21, 4 Cd 3.40

---

ii | DFT (PBE) results for crystalline BeCdPb2 at its relaxed geometry.

Values from the calculation:
Calculated volume (Å³ per atom): 25.1
Space group: Cmmm, No. 65

Unit cell a=3.3722 b=3.3722 c=9.0946 alpha=90.00 beta=90.00 gamma=103.81
Last column: nearest neighbours and their distance in Å.
Atoms (fractional coordinates):
Cd 0.5000 0.5000 0.7500  4 Cd 3.37, 4 Pb 3.47
Pb 0.0000 0.0000 0.0557  2 Be 2.73
Pb 0.0000 0.0000 0.4443  2 Be 2.73
Be 0.5000 0.5000 0.2500  4 Pb 2.73

---

Most stable of them? ii.

---

i | DFT (PBE) results for crystalline BeCdPb2 at its relaxed geometry.

Values from the calculation:
Calculated volume (Å³ per atom): 24.6
Space group: C2/m, No. 12

Unit cell a=5.4034 b=5.4034 c=3.4837 alpha=86.88 beta=86.88 gamma=103.45
Last column: nearest neighbours and their distance in Å.
Atoms (fractional coordinates):
Be 0.5000 0.0000 0.5000  8 Pb 3.13-3.29, 2 Cd 3.35, 2 Be 3.48
Cd 0.0000 0.5000 0.5000  8 Pb 3.13-3.29, 2 Be 3.35, 2 Cd 3.48
Pb 0.0000 0.0000 0.0000  4 Be 3.13-3.29, 4 Cd 3.13-3.29, 4 Pb 3.35-3.48
Pb 0.5000 0.5000 0.0000  4 Cd 3.13-3.29, 4 Be 3.13-3.29, 4 Pb 3.35-3.48

---

ii | DFT (PBE) results for crystalline BeCdPb2 at its relaxed geometry.

Values from the calculation:
Calculated volume (Å³ per atom): 30.3
Space group: I-42d, No. 122

Unit cell a=6.6181 b=6.6181 c=7.2517 alpha=62.85 beta=62.85 gamma=90.00
Last column: nearest neighbours and their distance in Å.
Atoms (fractional coordinates):
Pb 0.5466 0.1250 0.2500  2 Be 2.44
Pb 0.8750 0.7966 0.7500  2 Be 2.44
Pb 0.3750 0.4534 0.7500  2 Be 2.44
Pb 0.2034 0.6250 0.2500  2 Be 2.44
Be 0.5000 0.5000 0.0000  4 Pb 2.44
Be 0.2500 0.7500 0.5000  4 Pb 2.44
Cd 0.0000 0.0000 0.0000  4 Pb 3.06
Cd 0.7500 0.2500 0.5000  4 Pb 3.06

---

Most stable of them? i.

---

i | DFT (PBE) results for crystalline BeCdPb2 at its relaxed geometry.

Values from the calculation:
Calculated volume (Å³ per atom): 23.8
Space group: P4mm, No. 99

Unit cell a=3.3149 b=3.3147 c=8.6729 alpha=90.00 beta=90.00 gamma=90.00
Last column: nearest neighbours and their distance in Å.
Atoms (fractional coordinates):
Be 0.0000 0.0000 0.5249  4 Cd 2.74, 4 Pb 2.97
Cd 0.5000 0.5000 0.6876  4 Be 2.74
Pb 0.0000 0.0000 0.9725  4 Pb 3.31, 4 Cd 3.41
Pb 0.5000 0.5000 0.3149  4 Be 2.97, 1 Cd 3.23, 4 Pb 3.31

---

ii | DFT (PBE) results for crystalline BeCdPb2 at its relaxed geometry.

Values from the calculation:
Calculated volume (Å³ per atom): 25.0
Space group: Immm, No. 71

Unit cell a=5.6576 b=5.6576 c=5.6576 alpha=138.33 beta=121.84 gamma=74.06
Last column: nearest neighbours and their distance in Å.
Atoms (fractional coordinates):
Pb 0.5479 0.5479 0.0000  2 Be 2.72
Pb 0.9521 0.9521 0.0000  2 Be 2.72
Be 0.7500 0.2500 0.5000  4 Pb 2.72
Cd 0.2500 0.7500 0.5000  8 Pb 3.30-3.36, 4 Be 3.41

---

Most stable of them? i.